# 1
# Tm3Sc3Te2Ir

A geometry-optimized Tm3Sc3Te2Ir structure (PBE-GGA, the Open Quantum Materials Database).

Computed properties:
Magnetization in μB per atom: 0.041
ΔE to the lowest computed polymorph in meV/atom: 0

Lattice parameters (Å, degrees): 7.9182 7.9182 3.9205 90.00 90.00 120.00
Sites, in units of the cell vectors:
Tm: 0.0000 0.3880 0.0000
Tm: 0.3880 0.0000 0.0000
Tm: 0.6120 0.6120 0.0000
Sc: 0.0000 0.7622 0.5000
Sc: 0.2378 0.2378 0.5000
Sc: 0.7622 0.0000 0.5000
Te: 0.3333 0.6667 0.5000
Te: 0.6667 0.3333 0.5000
Ir: 0.0000 0.0000 0.0000


# 2
# CsTeIrAuSe2

A geometry-optimized CsTeIrAuSe2 structure (PBE-GGA, the Open Quantum Materials Database).

Computed properties:
Total DFT energy (no corrections) in eV/atom: -4.195
Magnetization in μB per atom: 0.001

Lattice parameters (Å, degrees): 9.1547 9.1547 10.4869 90.00 90.00 156.00
Sites, in units of the cell vectors:
Cs: 0.2342 0.7658 0.7500
Cs: 0.7658 0.2342 0.2500
Te: 0.4558 0.5442 0.2500
Te: 0.5442 0.4558 0.7500
Ir: 0.5000 0.5000 0.0000
Ir: 0.5000 0.5000 0.5000
Au: 0.1022 0.8978 0.2500
Au: 0.8978 0.1022 0.7500
Se: 0.0939 0.9061 0.0163
Se: 0.0939 0.9061 0.4837
Se: 0.9061 0.0939 0.5163
Se: 0.9061 0.0939 0.9837


# 3
# SmReAsO

A geometry-optimized SmReAsO structure (PBE-GGA, the Open Quantum Materials Database).

Computed properties:
Magnetization in μB per atom: 0.001
ΔE to the lowest computed polymorph in meV/atom: 615

Lattice parameters (Å, degrees): 4.1416 6.3650 5.6695 90.00 90.00 90.00
Sites, in units of the cell vectors:
Sm: 0.0000 0.1698 0.0000
Sm: 0.0000 0.8302 0.5000
Re: 0.5000 0.4546 0.7600
Re: 0.5000 0.5454 0.2600
As: 0.0000 0.3233 0.5113
As: 0.0000 0.6767 0.0113
O: 0.5000 0.2696 0.0661
O: 0.5000 0.7304 0.5661


# 4
# Gd2HoNi2B2As3

A geometry-optimized Gd2HoNi2B2As3 structure (PBE-GGA, the Open Quantum Materials Database).

Computed properties:
Total DFT energy (no corrections) in eV/atom: -6.036
Magnetization in μB per atom: 0.000

Lattice parameters (Å, degrees): 11.2981 11.2981 11.2981 159.45 159.45 29.22
Sites, in units of the cell vectors:
Gd: 0.1422 0.1422 0.0000
Gd: 0.8578 0.8578 0.0000
Ho: 0.5000 0.5000 0.0000
Ni: 0.2500 0.7500 0.5000
Ni: 0.7500 0.2500 0.5000
B: 0.2762 0.2762 0.0000
B: 0.7238 0.7238 0.0000
As: 0.0000 0.0000 0.0000
As: 0.3717 0.3717 0.0000
As: 0.6283 0.6283 0.0000


# 5
# BaNaTa

A geometry-optimized BaNaTa structure (PBE-GGA, the Open Quantum Materials Database).

Computed properties:
Magnetization in μB per atom: 1.522
ΔE to the lowest computed polymorph in meV/atom: 0

Lattice parameters (Å, degrees): 5.6115 5.6115 5.6115 60.00 60.00 60.00
Sites, in units of the cell vectors:
Ba: 0.0000 0.0000 0.0000
Na: 0.5000 0.5000 0.5000
Ta: 0.2500 0.2500 0.2500


# 6
# Cs4Zn3F10

A geometry-optimized Cs4Zn3F10 structure (PBE-GGA, the Open Quantum Materials Database).

Computed properties:
Total DFT energy (no corrections) in eV/atom: -4.055

Lattice parameters (Å, degrees): 7.7178 7.7178 13.5392 90.00 90.00 133.80
Sites, in units of the cell vectors:
Cs: 0.0421 0.9579 0.8614
Cs: 0.2392 0.7608 0.6129
Cs: 0.2608 0.7392 0.1129
Cs: 0.4579 0.5421 0.3614
Cs: 0.5421 0.4579 0.6386
Cs: 0.7392 0.2608 0.8871
Cs: 0.7608 0.2392 0.3871
Cs: 0.9579 0.0421 0.1386
Zn: 0.0000 0.0000 0.5000
Zn: 0.1253 0.8747 0.3468
Zn: 0.3747 0.6253 0.8468
Zn: 0.5000 0.5000 0.0000
Zn: 0.6253 0.3747 0.1532
Zn: 0.8747 0.1253 0.6532
F: 0.0261 0.9739 0.6482
F: 0.1181 0.3277 0.5356
F: 0.1343 0.3657 0.7500
F: 0.1723 0.3819 0.9644
F: 0.2380 0.7620 0.8488
F: 0.2620 0.7380 0.3488
F: 0.3277 0.1181 0.4644
F: 0.3657 0.1343 0.2500
F: 0.3819 0.1723 0.0356
F: 0.4739 0.5261 0.1482
F: 0.5261 0.4739 0.8518
F: 0.6181 0.8277 0.9644
F: 0.6343 0.8657 0.7500
F: 0.6723 0.8819 0.5356
F: 0.7380 0.2620 0.6512
F: 0.7620 0.2380 0.1512
F: 0.8277 0.6181 0.0356
F: 0.8657 0.6343 0.2500
F: 0.8819 0.6723 0.4644
F: 0.9739 0.0261 0.3518


# 7
# RbNaNpSe3

A geometry-optimized RbNaNpSe3 structure (PBE-GGA, the Open Quantum Materials Database).

Computed properties:
Total DFT energy (no corrections) in eV/atom: -5.374
Magnetization in μB per atom: 0.501

Lattice parameters (Å, degrees): 7.9076 7.9076 11.2676 90.00 90.00 147.99
Sites, in units of the cell vectors:
Rb: 0.2253 0.7747 0.7500
Rb: 0.7747 0.2253 0.2500
Na: 0.0589 0.9411 0.2500
Na: 0.9411 0.0589 0.7500
Np: 0.5000 0.5000 0.0000
Np: 0.5000 0.5000 0.5000
Se: 0.1210 0.8790 0.0239
Se: 0.1210 0.8790 0.4761
Se: 0.4515 0.5485 0.2500
Se: 0.5485 0.4515 0.7500
Se: 0.8790 0.1210 0.5239
Se: 0.8790 0.1210 0.9761


# 8
# SrNdCuSi3

A geometry-optimized SrNdCuSi3 structure (PBE-GGA, the Open Quantum Materials Database).

Computed properties:
Magnetization in μB per atom: 0.000
ΔE to the lowest computed polymorph in meV/atom: 12

Lattice parameters (Å, degrees): 8.3171 8.1499 6.0160 70.06 67.10 42.84
Sites, in units of the cell vectors:
Sr: 0.2463 0.7537 0.2463
Sr: 0.7537 0.2463 0.7537
Nd: 0.2500 0.2500 0.2500
Nd: 0.7500 0.7500 0.7500
Cu: 0.3339 0.3339 0.6661
Cu: 0.6661 0.6661 0.3339
Si: 0.1667 0.6608 0.8333
Si: 0.1707 0.1707 0.8293
Si: 0.3392 0.8333 0.6608
Si: 0.6608 0.1667 0.3392
Si: 0.8293 0.8293 0.1707
Si: 0.8333 0.3392 0.1667